Entry 1:
The following is a PBE calculation of a relaxed TcAg3Br crystal, from Alexandria.

a = 5.144 Å, b = 5.144 Å, c = 5.144 Å
α = 90.00°, β = 90.00°, γ = 90.00°
Atoms (fractional coordinates):
1 Tc 0.500 0.500 0.500
2 Br 0.000 0.000 0.000
3 Ag 0.500 0.000 0.000
4 Ag 0.000 0.000 0.500
5 Ag 0.000 0.500 0.000

## Properties
mass density	6.12	g/cm3
symmetry	Pm-3m, No. 221
formation energy without anion corrections	1.452	eV per atom
magnetization	3.9	μB/f.u.
crystal system	cubic

=====

Entry 2:
The following is a PBE calculation of a relaxed TbY4Ag crystal, from Alexandria.

a = 3.571 Å, b = 3.571 Å, c = 13.998 Å
α = 90.00°, β = 90.00°, γ = 90.00°
Atoms (fractional coordinates):
1 Tb 0.000 0.000 0.000
2 Y 0.000 0.000 0.364
3 Y 0.500 0.500 0.179
4 Y 0.500 0.500 0.821
5 Y 0.000 0.000 0.636
6 Ag 0.500 0.500 0.500

## Properties
mass density	5.79	g/cm3
symmetry	P4/mmm, No. 123
magnetization	0.0	μB/f.u.
crystal system	tetragonal
formation energy	-8	kJ/mol of atoms

=====

Entry 3:
The following is a PBE calculation of a relaxed TbPm6S8 crystal, from Alexandria.

a = 8.041 Å, b = 8.041 Å, c = 8.041 Å
α = 60.00°, β = 60.00°, γ = 60.00°
Atoms (fractional coordinates):
1 Pm 0.000 0.000 0.500
2 Pm 0.500 0.500 0.000
3 Pm 0.500 0.000 0.500
4 Pm 0.000 0.500 0.500
5 Pm 0.000 0.500 0.000
6 Pm 0.500 0.000 0.000
7 S 0.755 0.245 0.245
8 S 0.245 0.755 0.755
9 S 0.245 0.245 0.755
10 S 0.755 0.755 0.245
11 S 0.755 0.245 0.755
12 S 0.250 0.250 0.250
13 S 0.245 0.755 0.245
14 S 0.750 0.750 0.750
15 Tb 0.000 0.000 0.000

## Properties
mass density	5.81	g/cm3
symmetry	Fm-3m, No. 225
formation energy without anion corrections	-2.062	eV per atom
magnetization	0.0	μB/f.u.
crystal system	cubic

=====

Entry 4:
The following is a PBE calculation of a relaxed CoAsPt2 crystal, from Alexandria.

a = 4.710 Å, b = 4.710 Å, c = 2.853 Å
α = 89.92°, β = 89.92°, γ = 108.79°
Atoms (fractional coordinates):
1 Co 0.000 0.500 0.500
2 Pt 0.500 0.500 0.000
3 Pt 0.000 0.000 0.000
4 As 0.500 0.000 0.500

## Properties
mass density	14.52	g/cm3
symmetry	C2/m, No. 12
magnetization	2.2	μB/f.u.
crystal system	monoclinic
formation energy	2	kJ/mol of atoms

=====

Entry 5:
The following is a PBE calculation of a relaxed V2NiHW crystal, from Alexandria.

a = 3.757 Å, b = 3.757 Å, c = 3.980 Å
α = 90.00°, β = 90.00°, γ = 90.00°
Atoms (fractional coordinates):
1 W 0.000 0.000 0.500
2 V 0.000 0.500 0.000
3 V 0.500 0.000 0.000
4 H 0.000 0.000 0.000
5 Ni 0.500 0.500 0.500

## Properties
mass density	10.21	g/cm3
symmetry	P4/mmm, No. 123
magnetization	0.0	μB/f.u.
crystal system	tetragonal
VASP energy	-8.026	eV/atom

=====

Entry 6:
The following is a PBE calculation of a relaxed CuTe3 crystal, from Alexandria.

a = 3.147 Å, b = 3.147 Å, c = 11.299 Å
α = 90.00°, β = 90.00°, γ = 105.66°
Atoms (fractional coordinates):
1 Te 0.500 0.500 0.179
2 Te 0.500 0.500 0.821
3 Te 0.000 0.000 0.500
4 Cu 0.000 0.000 0.000

## Properties
mass density	6.88	g/cm3
symmetry	Cmmm, No. 65
formation energy without anion corrections	0.223	eV per atom
magnetization	0.0	μB/f.u.
crystal system	orthorhombic